A relaxed Sn4Pd2Ru crystal, computed with GGA-PBE.

Space group: I4/mmm (139)
Crystal system: tetragonal
ΔE_f in eV/atom: 0.005

```
data_Sn4Pd2Ru
_space_group_name_H-M_alt 'P 1'
_space_group_IT_number 1
_cell_length_a 7.475
_cell_length_b 7.475
_cell_length_c 7.475
_cell_angle_alpha 140.18
_cell_angle_beta 140.18
_cell_angle_gamma 57.58
loop_
_space_group_symop_operation_xyz
'x,y,z'
loop_
_atom_site_label
_atom_site_fract_x
_atom_site_fract_y
_atom_site_fract_z
Sn1 0.000 0.500 0.500
Sn2 0.198 0.198 0.000
Sn3 0.500 0.000 0.500
Sn4 0.802 0.802 0.000
Pd1 0.396 0.396 0.000
Pd2 0.604 0.604 0.000
Ru1 0.000 0.000 0.000
```